(1)
Below is an optimized crystal structure of MoRhAu2, with properties calculated at the PBE level.

Size of the total moment: 0.00 μB/f.u.
Raw total energy: -6.047 eV/atom
Calculated formation energy: 0.5 eV/f.u.
Relative energy among the computed polymorphs: 132 meV/atom

Cell lengths 4.8744, 4.8744, 4.9907 Å; angles 99.62, 99.62, 33.98 degrees
Closest atoms and distances in Å follow each position.
Atoms (fractional coordinates):
Mo  0.0000  0.0000  0.0000  3 Rh 2.69-2.80, 7 Au 2.81-2.94, 2 Mo 2.85
Rh  0.2612  0.2612  0.7952  3 Mo 2.69-2.80, 7 Au 2.78-2.97, 2 Rh 2.85
Au  0.5086  0.5086  0.5178  5 Au 2.77-2.87, 4 Mo 2.81-2.94, 3 Rh 2.89
Au  0.7525  0.7525  0.2708  5 Au 2.77-2.87, 4 Rh 2.78-2.97, 3 Mo 2.87-2.88

(2)
Below is an optimized crystal structure of MoRhAu2, with properties calculated at the PBE level.

Size of the total moment: 0.00 μB/f.u.
Raw total energy: -5.869 eV/atom
Calculated formation energy: 1.3 eV/f.u.
Relative energy among the computed polymorphs: 311 meV/atom

Cell lengths 4.5267, 4.5267, 4.5267 Å; angles 60.00, 60.00, 60.00 degrees
Closest atoms and distances in Å follow each position.
Atoms (fractional coordinates):
Mo  0.0000  0.0000  0.0000  8 Au 2.77
Rh  0.5000  0.5000  0.5000  8 Au 2.77
Au  0.2500  0.2500  0.2500  4 Mo 2.77, 4 Rh 2.77
Au  0.7500  0.7500  0.7500  4 Mo 2.77, 4 Rh 2.77

(3)
Below is an optimized crystal structure of MoRhAu4, with properties calculated at the PBE level.

Size of the total moment: 2.45 μB/f.u.
Raw total energy: -4.625 eV/atom
Calculated formation energy: 3.5 eV/f.u.

Cell lengths 5.3798, 5.3798, 5.3798 Å; angles 60.00, 60.00, 60.00 degrees
Closest atoms and distances in Å follow each position.
Atoms (fractional coordinates):
Mo  0.0000  0.0000  0.0000  12 Au 3.15, 4 Rh 3.29
Rh  0.2500  0.2500  0.2500  12 Au 3.15, 4 Mo 3.29
Au  0.1252  0.6249  0.6249  6 Au 2.69
Au  0.6249  0.1252  0.6249  6 Au 2.69
Au  0.6249  0.6249  0.1252  6 Au 2.69
Au  0.6249  0.6249  0.6249  6 Au 2.69

What is the raw total energy in the second record?
-5.869 eV/atom